First-principles (PBE-GGA) data for CoBi2W after structural relaxation, as listed in the Alexandria database.

Unit cell a=6.3836 b=6.3836 c=11.3087 alpha=90.00 beta=90.00 gamma=90.00
Last column: nearest neighbours and their distance in Å.
Fractional positions:
1 Co 0.0000 0.0000 0.0000  4 Bi 2.57
2 Co 0.0000 0.5000 0.2500  4 Bi 2.57
3 Co 0.5000 0.0000 0.7500  4 Bi 2.57
4 Co 0.5000 0.5000 0.5000  4 Bi 2.57
5 Bi 0.2244 0.2500 0.1250  2 Co 2.57, 2 W 2.76
6 Bi 0.2500 0.7244 0.3750  2 Co 2.57, 2 W 2.76
7 Bi 0.2500 0.7756 0.8750  2 Co 2.57, 2 W 2.76
8 Bi 0.2756 0.2500 0.6250  2 Co 2.57, 2 W 2.76
9 Bi 0.7244 0.7500 0.6250  2 Co 2.57, 2 W 2.76
10 Bi 0.7500 0.2244 0.8750  2 Co 2.57, 2 W 2.76
11 Bi 0.7500 0.2756 0.3750  2 Co 2.57, 2 W 2.76
12 Bi 0.7756 0.7500 0.1250  2 Co 2.57, 2 W 2.76
13 W 0.0000 0.0000 0.5000  4 Bi 2.76
14 W 0.0000 0.5000 0.7500  4 Bi 2.76
15 W 0.5000 0.0000 0.2500  4 Bi 2.76
16 W 0.5000 0.5000 0.0000  4 Bi 2.76

Calculated values
ρ = 9.52 Mg/m³
excess energy over the best structure of this formula in the dataset = 0.434 eV/atom
SG = I-42d (122)